Density functional theory data (PBEsol) for a relaxed NbTc3H crystal.

The calculation puts the total energy at -47.87 eV/f.u. The value obtained for the density of states at the Fermi level is 4.751 states/eV/f.u.

Geometry as CIF:
```
data_NbTc3H
_cell_length_a 3.949
_cell_length_b 3.949
_cell_length_c 3.949
_cell_angle_alpha 90.00
_cell_angle_beta 90.00
_cell_angle_gamma 90.00
_space_group_name_H-M_alt 'P m -3 m'
_space_group_IT_number 221
_space_group_name_Hall '-P 4 2 3'
loop_
_atom_site_label
_atom_site_type_symbol
_atom_site_fract_x
_atom_site_fract_y
_atom_site_fract_z
Nb1 Nb 0.000 0.000 0.000
Tc1 Tc 0.000 0.500 0.500
H1 H 0.500 0.500 0.500
```